[1]
Compound: SmThCu2
Source: Alexandria
Functional: PBE
Structure: relaxed

## Properties
Formation energy from the elements   -0.110 eV per atom
Energy above the most stable polymorph in this dataset   0.0335 eV per atom

POSCAR file:
```
SmThCu2
1.0
3.479 0.000 0.000
0.000 5.092 0.000
0.000 0.000 5.092
Sm Th Cu
1 1 2
direct
0.500 0.000 0.000
0.500 0.500 0.500
0.000 0.500 0.000
0.000 0.000 0.500
```


[2]
Compound: CrHg2Cl
Source: Alexandria
Functional: PBE
Structure: relaxed

## Properties
Energy above the most stable polymorph in this dataset   0.0823 eV per atom

POSCAR file:
```
CrHg2Cl
1.0
8.038 -0.007 -0.025
7.366 3.219 -0.025
1.055 0.220 3.947
Hg Cr Cl
2 1 1
direct
0.933 0.933 0.067
0.567 0.567 0.433
0.250 0.250 0.250
0.750 0.750 0.750
```


[3]
Compound: Eu3H5Pd12
Source: Alexandria
Functional: PBE
Structure: relaxed

POSCAR file:
```
Eu3H5Pd12
1.0
-7.113 -0.784 9.260
1.654 -10.649 -4.562
10.292 4.449 3.352
Eu Pd H
12 48 20
direct
0.625 0.250 0.375
0.250 0.625 0.875
0.250 0.125 0.375
0.125 0.250 0.875
0.750 0.375 0.125
0.375 0.625 0.250
0.375 0.750 0.625
0.125 0.875 0.750
0.875 0.125 0.250
0.625 0.375 0.750
0.750 0.875 0.625
0.875 0.750 0.125
0.914 0.594 0.899
0.320 0.914 0.015
0.086 0.680 0.485
0.899 0.805 0.485
0.906 0.805 0.820
0.805 0.899 0.985
0.586 0.985 0.180
0.180 0.695 0.094
0.305 0.485 0.399
0.406 0.320 0.305
0.414 0.399 0.094
0.805 0.906 0.320
0.515 0.695 0.101
0.406 0.086 0.601
0.399 0.414 0.594
0.086 0.406 0.101
0.015 0.414 0.320
0.414 0.015 0.820
0.485 0.180 0.086
0.594 0.680 0.695
0.586 0.601 0.906
0.594 0.914 0.399
0.101 0.906 0.086
0.985 0.586 0.680
0.015 0.601 0.195
0.101 0.195 0.515
0.680 0.594 0.195
0.180 0.485 0.586
0.515 0.820 0.914
0.601 0.015 0.695
0.320 0.406 0.805
0.820 0.515 0.414
0.485 0.305 0.899
0.680 0.086 0.985
0.985 0.399 0.805
0.906 0.101 0.586
0.695 0.180 0.594
0.914 0.320 0.515
0.899 0.094 0.914
0.305 0.820 0.406
0.695 0.515 0.601
0.195 0.101 0.015
0.094 0.899 0.414
0.601 0.586 0.406
0.399 0.985 0.305
0.820 0.305 0.906
0.094 0.195 0.180
0.195 0.094 0.680
0.625 0.750 0.875
0.500 0.500 0.500
0.500 0.000 0.500
0.500 0.500 0.000
0.250 0.375 0.625
0.000 0.000 0.000
0.000 0.000 0.500
0.625 0.875 0.250
0.000 0.500 0.000
0.750 0.125 0.875
0.375 0.125 0.750
0.500 0.000 0.000
0.875 0.625 0.750
0.750 0.625 0.375
0.875 0.250 0.625
0.375 0.250 0.125
0.250 0.875 0.125
0.000 0.500 0.500
0.125 0.375 0.250
0.125 0.750 0.375
```


[4]
Compound: AcHo4Tm3
Source: Alexandria
Functional: PBE
Structure: relaxed

## Properties
Formation energy from the elements   0.128 eV per atom

POSCAR file:
```
AcHo4Tm3
1.0
-2.362 -1.301 2.273
6.912 1.551 5.326
-5.849 6.118 5.643
Tm Ho Ac
3 4 1
direct
0.737 0.263 0.263
0.000 0.500 0.500
0.263 0.737 0.737
0.618 0.602 0.122
0.382 0.398 0.878
0.658 0.122 0.602
0.342 0.878 0.398
0.500 0.000 0.000
```


[5]
Compound: La2TiGe
Source: Alexandria
Functional: PBE
Structure: relaxed

## Properties
Formation energy from the elements   0.127 eV per atom

POSCAR file:
```
La2TiGe
1.0
-5.562 -5.171 3.943
3.772 -6.792 -3.587
0.934 -6.187 2.488
Ti Ge La
2 2 4
direct
0.250 0.750 0.500
0.500 0.500 0.000
0.000 0.000 0.000
0.750 0.250 0.500
0.103 0.625 0.250
0.375 0.353 0.750
0.647 0.125 0.250
0.875 0.897 0.750
```


[6]
Compound: Y2Cl
Source: Alexandria
Functional: PBE
Structure: relaxed

## Properties
Energy above the most stable polymorph in this dataset   0.6212 eV per atom

POSCAR file:
```
Y2Cl
1.0
4.823 0.000 0.000
0.000 4.823 0.000
0.000 0.000 3.384
Y Cl
2 1
direct
0.000 0.500 0.500
0.500 0.000 0.500
0.000 0.000 0.000
```


Short version: E = -5.193 -3.032 -5.693 -4.352 -5.464 -5.228 eV/atom, in the order given.